[1]
Compound: Pm8Rh2Pb
Source: the Alexandria database
Functional: PBE
Structure: optimized geometry

The value obtained for the density of states at the Fermi level is 28.082 states/eV per cell. The value obtained for the formation energy is -0.336 eV/atom. The crystal system is monoclinic.

The structure belongs to space group C2/m (No. 12); the cell edges are 8.7850, 13.8536 and 5.6167 Å and the angles 90.00°, 104.23° and 90.00°. The inequivalent atoms are Pm at (0.0000, 0.2483, 0.0000), Pm at (0.1029, 0.5000, 0.8043), Pm at (0.2044, 0.1256, 0.5632), Rh at (0.0000, 0.2964, 0.5000) and Pb at (0.0000, 0.0000, 0.0000).

[2]
Compound: NdPuIn
Source: the Alexandria database
Functional: PBE
Structure: optimized geometry

The value obtained for the density of states at the Fermi level is 15.067 states/eV per cell. The value obtained for the energy above the most stable polymorph in this dataset is 0 meV/atom. The value obtained for the formation energy is -0.101 eV/atom. The crystal system is tetragonal.

The structure belongs to space group I4mm (No. 107); the cell edges are 3.7447, 3.7447 and 12.5912 Å and the angles 90.00°, 90.00° and 90.00°. The inequivalent atoms are Nd at (0.0000, 0.0000, 0.0000), Pu at (0.0000, 0.0000, 0.3140) and In at (0.0000, 0.0000, 0.6607).

[3]
Compound: AlReSi
Source: the Alexandria database
Functional: PBE
Structure: optimized geometry

The crystal system is orthorhombic. Its energy is -7.62 eV per atom.

The structure belongs to space group Fdd2 (No. 43); the cell edges are 4.6302, 8.8288 and 8.0328 Å and the angles 90.00°, 90.00° and 90.00°. The inequivalent atoms are Al at (0.0000, 0.0000, 0.0000), Re at (0.0000, 0.0000, 0.6631) and Si at (0.0000, 0.0000, 0.3332).

[4]
Compound: ZnHgPBr2
Source: the Alexandria database
Functional: PBE
Structure: optimized geometry

The value obtained for the density of states at the Fermi level is 1.426 states/eV per cell. The crystal system is tetragonal. Its energy is -1.93 eV per atom.

The structure belongs to space group P4/mmm (No. 123); the cell edges are 5.1752, 5.1752 and 5.2972 Å and the angles 90.00°, 90.00° and 90.00°. The inequivalent atoms are Zn at (0.0000, 0.0000, 0.0000), Hg at (0.5000, 0.5000, 0.0000), P at (0.5000, 0.5000, 0.5000) and Br at (0.0000, 0.5000, 0.5000).

Magnetic moment list, top to bottom, in Bohr magnetons per cell: 0.00; 12.97; 0.00; 0.00